Record 1
Here is crystalline BePdSe2Br at its relaxed geometry from Alexandria via LeMat-Bulk. Energies are from PBE. Values from VASP.

Summary:
Relative energy among the computed polymorphs in meV per atom: 336
Size of the total moment in μB/f.u.: 0.00
Space group: P4/mmm
V in Å³ per cell: 124
Calculated total energy in eV/cell: -14.0
Calculated density in g/cm³: 4.734

Cell and atoms, written as Quantum ESPRESSO input:
```
&SYSTEM
  ibrav = 0, nat = 5, ntyp = 4
/
ATOMIC_SPECIES
Pd 106.42 Pd.upf
Se 78.96 Se.upf
Br 79.90 Br.upf
Be 9.01 Be.upf
CELL_PARAMETERS angstrom
-0.592 -2.639 4.152
1.362 -4.107 -2.416
4.814 0.868 1.238
ATOMIC_POSITIONS angstrom
Pd 0.000 0.000 0.000
Se 0.681 -2.053 -1.208
Br 2.407 0.434 0.619
Be 2.792 -2.939 1.487
Se -0.296 -1.320 2.076
```

---

Record 2
Here is crystalline LaHIO2 at its relaxed geometry from Alexandria via LeMat-Bulk. Energies are from PBE. Values from VASP.

Summary:
Relative energy among the computed polymorphs in meV per atom: 86
Size of the total moment in μB/f.u.: 1.13
Space group: P4/mmm
V in Å³ per cell: 74
Calculated total energy in eV/cell: -23.2
Calculated density in g/cm³: 6.706

Cell and atoms, written as Quantum ESPRESSO input:
```
&SYSTEM
  ibrav = 0, nat = 5, ntyp = 4
/
ATOMIC_SPECIES
O 16.00 O.upf
I 126.90 I.upf
H 1.01 H.upf
La 138.91 La.upf
CELL_PARAMETERS angstrom
-0.408 1.826 -4.117
-4.449 -0.807 0.083
-0.561 3.247 1.495
ATOMIC_POSITIONS angstrom
O -0.204 0.913 -2.058
I -0.280 1.624 0.748
H 0.000 0.000 0.000
La -2.709 2.133 -1.269
O -2.224 -0.403 0.042
```

---

Record 3
Here is crystalline SrAgPb2 at its relaxed geometry from Alexandria via LeMat-Bulk. Energies are from PBE. Values from VASP.

Summary:
Energy of formation in eV per atom: -0.1001
Size of the total moment in μB/f.u.: 0.00
Space group: I-42d
V in Å³ per cell: 260
Calculated total energy in eV/cell: -24.7
Calculated density in g/cm³: 7.795

Cell and atoms, written as Quantum ESPRESSO input:
```
&SYSTEM
  ibrav = 0, nat = 8, ntyp = 3
/
ATOMIC_SPECIES
Ag 107.87 Ag.upf
Sr 87.62 Sr.upf
Pb 207.20 Pb.upf
CELL_PARAMETERS angstrom
-3.247 2.399 -2.772
-0.629 -4.013 -2.736
-9.929 -4.032 3.813
ATOMIC_POSITIONS angstrom
Ag 0.000 0.000 0.000
Sr -1.938 -0.807 -2.754
Sr -6.248 -4.426 -0.839
Ag -7.556 -1.220 -0.857
Pb -4.756 0.112 -1.263
Pb -8.868 -3.424 0.934
Pb -3.115 -3.339 -0.961
Pb -10.870 -4.641 -2.100
```

---

Record 4
Here is crystalline YBi3Mo at its relaxed geometry from Alexandria via LeMat-Bulk. Energies are from PBE. Values from VASP.

Summary:
Energy of formation in eV per atom: 0.4710
Relative energy among the computed polymorphs in meV per atom: 0
Size of the total moment in μB/f.u.: 0.00
Space group: Pm-3m
V in Å³ per cell: 159
Calculated total energy in eV/cell: -26.6
Calculated density in g/cm³: 8.475

Cell and atoms, written as Quantum ESPRESSO input:
```
&SYSTEM
  ibrav = 0, nat = 5, ntyp = 3
/
ATOMIC_SPECIES
Bi 208.98 Bi.upf
Y 88.91 Y.upf
Mo 95.94 Mo.upf
CELL_PARAMETERS angstrom
5.418 0.000 0.000
0.000 5.418 0.000
0.000 0.000 5.418
ATOMIC_POSITIONS angstrom
Bi 2.709 0.000 0.000
Y 2.709 2.709 2.709
Bi 0.000 0.000 2.709
Mo 0.000 0.000 0.000
Bi 0.000 2.709 0.000
```

---

Record 5
Here is crystalline TbPuTl at its relaxed geometry from Alexandria via LeMat-Bulk. Energies are from PBE. Values from VASP.

Summary:
Energy of formation in eV per atom: 0.0090
Relative energy among the computed polymorphs in meV per atom: 34
Size of the total moment in μB/f.u.: 6.09
Space group: P3m1
V in Å³ per cell: 85
Calculated total energy in eV/cell: -21.3
Calculated density in g/cm³: 11.894

Cell and atoms, written as Quantum ESPRESSO input:
```
&SYSTEM
  ibrav = 0, nat = 3, ntyp = 3
/
ATOMIC_SPECIES
Tb 158.93 Tb.upf
Pu 244.00 Pu.upf
Tl 204.38 Tl.upf
CELL_PARAMETERS angstrom
-2.534 -2.337 -0.026
0.654 -0.768 5.233
-3.405 3.711 -1.744
ATOMIC_POSITIONS angstrom
Tb -1.424 0.056 2.900
Pu -3.839 0.569 0.563
Tl -0.021 -0.020 0.000
```

---

Record 6
Here is crystalline NaSn6 at its relaxed geometry from Alexandria via LeMat-Bulk. Energies are from PBE. Values from VASP.

Summary:
Energy of formation in eV per atom: 0.0929
Size of the total moment in μB/f.u.: 0.00
Space group: Im-3m
V in Å³ per cell: 272
Calculated total energy in eV/cell: -24.7
Calculated density in g/cm³: 4.486

Cell and atoms, written as Quantum ESPRESSO input:
```
&SYSTEM
  ibrav = 0, nat = 7, ntyp = 2
/
ATOMIC_SPECIES
Sn 118.71 Sn.upf
Na 22.99 Na.upf
CELL_PARAMETERS angstrom
7.071 0.000 0.000
-2.357 6.666 0.000
-2.357 -3.333 5.773
ATOMIC_POSITIONS angstrom
Sn -1.178 3.333 2.887
Sn 3.535 2.500 1.443
Sn -1.178 0.833 4.330
Sn 3.535 0.000 2.887
Sn 1.178 -0.833 4.330
Na 0.000 0.000 0.000
Sn 1.178 4.166 1.443
```

---

Record 7
Here is crystalline La2CoS at its relaxed geometry from Alexandria via LeMat-Bulk. Energies are from PBE. Values from VASP.

Summary:
Size of the total moment in μB/f.u.: 0.45
Space group: Cmcm
V in Å³ per cell: 203
Calculated total energy in eV/cell: -50.9
Calculated density in g/cm³: 6.032

Cell and atoms, written as Quantum ESPRESSO input:
```
&SYSTEM
  ibrav = 0, nat = 8, ntyp = 3
/
ATOMIC_SPECIES
La 138.91 La.upf
Co 58.93 Co.upf
S 32.06 S.upf
CELL_PARAMETERS angstrom
-1.346 3.520 -1.639
-3.884 -1.312 0.373
1.350 5.529 10.767
ATOMIC_POSITIONS angstrom
La -3.176 3.831 3.109
Co -2.976 2.182 -0.598
La -3.466 6.209 8.456
La -0.415 1.527 1.046
La -0.705 3.906 6.392
Co -0.905 5.555 10.099
S -0.561 2.728 3.744
S -3.320 5.009 5.757
```

---

Record 8
Here is crystalline AcLaCoNi at its relaxed geometry from Alexandria via LeMat-Bulk. Energies are from PBE. Values from VASP.

Summary:
Energy of formation in eV per atom: -0.0337
Relative energy among the computed polymorphs in meV per atom: 114
Size of the total moment in μB/f.u.: 0.00
Space group: F-43m
V in Å³ per cell: 92
Calculated total energy in eV/cell: -22.1
Calculated density in g/cm³: 8.736

Cell and atoms, written as Quantum ESPRESSO input:
```
&SYSTEM
  ibrav = 0, nat = 4, ntyp = 4
/
ATOMIC_SPECIES
Co 58.93 Co.upf
Ni 58.69 Ni.upf
La 138.91 La.upf
Ac 227.00 Ac.upf
CELL_PARAMETERS angstrom
-2.134 4.572 -0.452
-5.039 0.425 -0.295
-2.606 1.972 3.870
ATOMIC_POSITIONS angstrom
Co -7.335 5.226 2.343
Ni -2.445 1.742 0.781
La 0.000 0.000 0.000
Ac -4.890 3.484 1.562
```